# 1
# LaIn3 meta-GGA SCAN PBEsol geometry
# Fermi-level density of states ... 0.466 states/eV/atom
# Raw total energy ... -36.4112 eV per atom
data_LaIn3
_chemical_formula_sum 'La1 In3'
_cell_length_a 4.695
_cell_length_b 4.695
_cell_length_c 4.695
_cell_angle_alpha 90.00
_cell_angle_beta 90.00
_cell_angle_gamma 90.00
_space_group_name_H-M_alt 'P m -3 m'
_space_group_IT_number 221
_space_group_name_Hall '-P 4 2 3'
loop_
_atom_site_label
_atom_site_type_symbol
_atom_site_fract_x
_atom_site_fract_y
_atom_site_fract_z
La1 La 0.000 0.000 0.000
In1 In 0.000 0.500 0.500

=====

# 2
# Sr2SnAsRu meta-GGA SCAN PBEsol geometry
# Fermi-level density of states ... 1.162 states/eV/atom
# Raw total energy ... -27.2873 eV per atom
data_Sr2SnAsRu
_chemical_formula_sum 'Sr2 Sn1 As1 Ru1'
_cell_length_a 5.748
_cell_length_b 5.748
_cell_length_c 4.565
_cell_angle_alpha 90.00
_cell_angle_beta 90.00
_cell_angle_gamma 90.00
_space_group_name_H-M_alt 'P 4/m m m'
_space_group_IT_number 123
_space_group_name_Hall '-P 4 2'
loop_
_atom_site_label
_atom_site_type_symbol
_atom_site_fract_x
_atom_site_fract_y
_atom_site_fract_z
Sr1 Sr 0.000 0.500 0.000
Sn1 Sn 0.000 0.000 0.500
As1 As 0.500 0.500 0.500
Ru1 Ru 0.500 0.500 0.000

=====

# 3
# PH2Ru meta-GGA SCAN PBEsol geometry
# Fermi-level density of states ... 0.370 states/eV/atom
# Raw total energy ... -12.5622 eV per atom
data_PH2Ru
_chemical_formula_sum 'P4 H8 Ru4'
_cell_length_a 3.329
_cell_length_b 3.329
_cell_length_c 13.539
_cell_angle_alpha 90.00
_cell_angle_beta 90.00
_cell_angle_gamma 90.00
_space_group_name_H-M_alt 'I 41/a m d'
_space_group_IT_number 141
loop_
_space_group_symop_operation_xyz
'x,y,z'
'-x,-y,-z'
'-y+1/4,x+3/4,z+1/4'
'y+1/4,-x+3/4,-z+1/4'
'-x+1/2,-y,z+1/2'
'x+1/2,y,-z+1/2'
'y+1/4,-x+1/4,z+3/4'
'-y+1/4,x+1/4,-z+3/4'
'x,-y,-z'
'-x,y,z'
'-y+1/4,-x+1/4,-z+3/4'
'y+1/4,x+1/4,z+3/4'
'-x+1/2,y,-z+1/2'
'x+1/2,-y,z+1/2'
'y+1/4,x+3/4,-z+1/4'
'-y+1/4,-x+3/4,z+1/4'
'x+1/2,y+1/2,z+1/2'
'-x+1/2,-y+1/2,-z+1/2'
'-y+3/4,x+1/4,z+3/4'
'y+3/4,-x+1/4,-z+3/4'
'-x,-y+1/2,z'
'x,y+1/2,-z'
'y+3/4,-x+3/4,z+1/4'
'-y+3/4,x+3/4,-z+1/4'
'x+1/2,-y+1/2,-z+1/2'
'-x+1/2,y+1/2,z+1/2'
'-y+3/4,-x+3/4,-z+1/4'
'y+3/4,x+3/4,z+1/4'
'-x,y+1/2,-z'
'x,-y+1/2,z'
'y+3/4,x+1/4,-z+3/4'
'-y+3/4,-x+1/4,z+3/4'
loop_
_atom_site_label
_atom_site_type_symbol
_atom_site_fract_x
_atom_site_fract_y
_atom_site_fract_z
P1 P 0.000 0.250 0.375
H1 H 0.000 0.000 0.000
Ru1 Ru 0.000 0.250 0.875

=====

Q: Among the records above, which one has the highest raw total energy?
A: PH2Ru

=====

Q: Which of these has the highest Fermi-level density of states?
A: Sr2SnAsRu